VASP calculation (GGA+U) on a geometry-optimized Ba3LiMo2O9 structure.

For the total energy, the calculation gives -6.720 eV per atom. For the total moment, the calculation gives 1.00 μB/f.u.

Geometry as POSCAR:
```
Ba3LiMo2O9
1.0
-5.3812 -1.1516 1.9859
1.3805 -1.1802 -5.5614
2.1082 -6.5516 1.9137
Mo O Ba Li
2 9 3 1
Direct
0.3333 0.6667 0.1756 Mo
0.6667 0.3333 0.8244 Mo
0.8247 0.6493 0.6833 O
0.1753 0.8247 0.3167 O
0.0000 0.5000 0.0000 O
0.5000 0.5000 0.0000 O
0.8247 0.1753 0.6833 O
0.5000 0.0000 0.0000 O
0.3507 0.1753 0.6833 O
0.1753 0.3507 0.3167 O
0.6493 0.8247 0.3167 O
0.3333 0.6667 0.6640 Ba
0.0000 0.0000 0.0000 Ba
0.6667 0.3333 0.3360 Ba
0.0000 0.0000 0.5000 Li
```